A relaxed TlCrBr2F crystal, computed with PBE+U.

Cell and atoms, written as POSCAR:
```
TlCrBr2F
1.0
-0.948 2.314 5.014
2.460 -4.378 2.486
3.548 1.882 -0.198
F Br Tl Cr
1 2 1 1
direct
0.000 0.000 0.500
0.000 0.500 0.000
0.500 0.000 0.000
0.500 0.500 0.500
0.000 0.000 0.000
```

Electronic total energy = -21.86 eV/cell